(1)
Material: Mn2ZnIr
Method: DFT, PBE-GGA
State: relaxed

POSCAR file:
```
Mn2ZnIr
1.0
2.843 0.000 0.000
0.000 2.843 0.000
0.000 0.000 6.731
Mn Zn Ir
2 1 1
direct
0.000 0.000 0.000
0.500 0.500 0.243
0.000 0.000 0.504
0.500 0.500 0.772
```

Calculated formation energy = -0.002 eV/atom
Crystal system = tetragonal
Total DFT energy (no corrections) = -7.12 eV/atom

=====

(2)
Material: MnZnIr
Method: DFT, PBE-GGA
State: relaxed

POSCAR file:
```
MnZnIr
1.0
2.712 0.000 0.000
0.000 2.712 0.000
0.000 0.000 10.881
Mn Zn Ir
2 2 2
direct
0.000 0.000 0.000
0.500 0.500 0.500
0.000 0.000 0.330
0.500 0.500 0.830
0.000 0.000 0.648
0.500 0.500 0.148
```

Calculated formation energy = -0.083 eV/atom
Crystal system = tetragonal
Total DFT energy (no corrections) = -6.52 eV/atom

=====

(3)
Material: MnZn3Ir
Method: DFT, PBE-GGA
State: relaxed

POSCAR file:
```
MnZn3Ir
1.0
4.765 0.000 0.000
0.000 4.765 0.000
0.000 0.000 4.765
Mn Zn Ir
1 3 1
direct
0.000 0.000 0.000
0.000 0.500 0.500
0.500 0.000 0.500
0.500 0.500 0.000
0.500 0.500 0.500
```

Calculated formation energy = 0.535 eV/atom
Crystal system = cubic
Total DFT energy (no corrections) = -3.84 eV/atom
Energy relative to the lowest polymorph listed for this composition = 0.5760 eV per atom

=====

(4)
Material: Mn2ZnIr
Method: DFT, PBE-GGA
State: relaxed

POSCAR file:
```
Mn2ZnIr
1.0
2.683 0.000 0.000
-1.341 2.323 0.000
0.000 0.000 25.561
Mn Zn Ir
6 3 3
direct
0.000 0.000 0.000
0.000 0.000 0.257
0.333 0.667 0.667
0.333 0.667 0.923
0.667 0.333 0.333
0.667 0.333 0.590
0.000 0.000 0.752
0.333 0.667 0.419
0.667 0.333 0.086
0.000 0.000 0.508
0.333 0.667 0.174
0.667 0.333 0.841
```

Calculated formation energy = 0.039 eV/atom
Crystal system = trigonal
Total DFT energy (no corrections) = -7.08 eV/atom

=====

(5)
Material: MnZn3Ir
Method: DFT, PBE-GGA
State: relaxed

POSCAR file:
```
MnZn3Ir
1.0
4.569 0.000 0.000
-0.779 7.856 0.000
-1.399 -2.655 8.201
Mn Zn Ir
4 12 4
direct
0.066 0.122 0.281
0.358 0.692 0.856
0.642 0.308 0.144
0.934 0.878 0.719
0.078 0.185 0.996
0.205 0.460 0.279
0.285 0.078 0.569
0.354 0.737 0.568
0.427 0.363 0.859
0.485 0.972 0.141
0.515 0.028 0.859
0.573 0.637 0.141
0.646 0.263 0.432
0.715 0.922 0.431
0.795 0.540 0.721
0.922 0.815 0.004
0.149 0.801 0.291
0.223 0.411 0.575
0.777 0.589 0.425
0.851 0.199 0.709
```

Calculated formation energy = -0.041 eV/atom
Crystal system = triclinic
Total DFT energy (no corrections) = -4.41 eV/atom
Energy relative to the lowest polymorph listed for this composition = 0.0000 eV per atom

=====

(6)
Material: MnZnIr3
Method: DFT, PBE-GGA
State: relaxed

POSCAR file:
```
MnZnIr3
1.0
4.463 0.000 0.000
0.000 4.463 0.000
0.000 0.000 4.463
Mn Zn Ir
1 1 3
direct
0.000 0.000 0.000
0.500 0.500 0.500
0.000 0.000 0.500
0.000 0.500 0.000
0.500 0.000 0.000
```

Calculated formation energy = 1.258 eV/atom
Crystal system = cubic
Total DFT energy (no corrections) = -6.15 eV/atom
Energy relative to the lowest polymorph listed for this composition = 0.0000 eV per atom

=====

(7)
Material: Mn3ZnIr
Method: DFT, PBE-GGA
State: relaxed

POSCAR file:
```
Mn3ZnIr
1.0
4.183 0.000 0.000
0.000 4.183 0.000
0.000 0.000 4.183
Mn Zn Ir
3 1 1
direct
0.000 0.000 0.500
0.000 0.500 0.000
0.500 0.000 0.000
0.000 0.000 0.000
0.500 0.500 0.500
```

Calculated formation energy = 1.745 eV/atom
Crystal system = cubic
Total DFT energy (no corrections) = -5.78 eV/atom
Energy relative to the lowest polymorph listed for this composition = 0.7896 eV per atom

=====

(8)
Material: Mn2ZnIr
Method: DFT, PBE-GGA
State: relaxed

POSCAR file:
```
Mn2ZnIr
1.0
6.059 0.000 0.000
0.000 6.059 0.000
0.000 0.000 6.059
Mn Zn Ir
8 4 4
direct
0.000 0.000 0.000
0.000 0.500 0.500
0.250 0.250 0.250
0.250 0.750 0.750
0.500 0.000 0.500
0.500 0.500 0.000
0.750 0.250 0.750
0.750 0.750 0.250
0.250 0.250 0.750
0.250 0.750 0.250
0.750 0.250 0.250
0.750 0.750 0.750
0.000 0.000 0.500
0.000 0.500 0.000
0.500 0.000 0.000
0.500 0.500 0.500
```

Calculated formation energy = -0.006 eV/atom
Crystal system = cubic
Total DFT energy (no corrections) = -7.12 eV/atom

=====

(9)
Material: Mn2ZnIr
Method: DFT, PBE-GGA
State: relaxed

POSCAR file:
```
Mn2ZnIr
1.0
3.771 0.000 0.000
0.000 3.771 0.000
0.000 0.000 7.335
Mn Zn Ir
4 2 2
direct
0.000 0.000 0.000
0.000 0.500 0.250
0.500 0.000 0.750
0.500 0.500 0.500
0.000 0.000 0.500
0.500 0.500 0.000
0.000 0.500 0.750
0.500 0.000 0.250
```

Calculated formation energy = -0.013 eV/atom
Crystal system = tetragonal
Total DFT energy (no corrections) = -7.13 eV/atom

=====

(10)
Material: Mn2ZnIr
Method: DFT, PBE-GGA
State: relaxed

POSCAR file:
```
Mn2ZnIr
1.0
5.420 0.000 0.000
0.000 7.232 0.000
0.000 0.000 2.802
Mn Zn Ir
4 2 2
direct
0.250 0.250 0.000
0.250 0.750 0.000
0.750 0.250 0.000
0.750 0.750 0.000
0.000 0.000 0.500
0.500 0.500 0.500
0.000 0.500 0.500
0.500 0.000 0.500
```

Calculated formation energy = -0.058 eV/atom
Crystal system = orthorhombic
Total DFT energy (no corrections) = -7.18 eV/atom

=====

(11)
Material: Mn2ZnIr
Method: DFT, PBE-GGA
State: relaxed

POSCAR file:
```
Mn2ZnIr
1.0
8.745 0.000 0.000
0.000 2.781 0.000
-0.925 0.000 4.434
Mn Zn Ir
4 2 2
direct
0.248 0.000 0.251
0.252 0.500 0.749
0.748 0.500 0.251
0.752 0.000 0.749
0.000 0.000 0.500
0.500 0.500 0.500
0.000 0.500 0.000
0.500 0.000 0.000
```

Calculated formation energy = 0.066 eV/atom
Crystal system = monoclinic
Total DFT energy (no corrections) = -7.05 eV/atom

=====

(12)
Material: Mn3ZnIr
Method: DFT, PBE-GGA
State: relaxed

POSCAR file:
```
Mn3ZnIr
1.0
4.844 0.000 0.000
0.000 4.844 0.000
0.000 0.000 4.844
Mn Zn Ir
3 1 1
direct
0.000 0.000 0.500
0.000 0.500 0.000
0.500 0.000 0.000
0.500 0.500 0.500
0.000 0.000 0.000
```

Calculated formation energy = 0.956 eV/atom
Crystal system = cubic
Total DFT energy (no corrections) = -6.57 eV/atom
Energy relative to the lowest polymorph listed for this composition = 0.0000 eV per atom

=====

Computed values of DOS(E_F) (unit: states/eV per atom) for the preceding records, in sequence: 0.61, 0.71, 0.61, 1.19, 0.47, 1.11, 2.16, 0.70, 0.89, 1.02, 1.26, 0.83.